A plane-wave DFT calculation with GGA-PBE was carried out for Ni4SnSb12 after structural relaxation.

```
data_Ni4SnSb12
_space_group_name_H-M_alt 'P 1'
_space_group_IT_number 1
_space_group_name_Hall 'P 1'
_cell_length_a 8.062
_cell_length_b 8.062
_cell_length_c 8.062
_cell_angle_alpha 109.47
_cell_angle_beta 109.47
_cell_angle_gamma 109.47
loop_
_atom_site_label
_atom_site_type_symbol
_atom_site_fract_x
_atom_site_fract_y
_atom_site_fract_z
Sb1 Sb 0.665 0.824 0.159
Sb2 Sb 0.506 0.841 0.665
Sb3 Sb 0.335 0.494 0.159
Sb4 Sb 0.335 0.176 0.841
Sb5 Sb 0.176 0.841 0.335
Sb6 Sb 0.841 0.335 0.176
Sb7 Sb 0.841 0.665 0.506
Sb8 Sb 0.494 0.159 0.335
Sb9 Sb 0.665 0.506 0.841
Sb10 Sb 0.824 0.159 0.665
Sb11 Sb 0.159 0.665 0.824
Sb12 Sb 0.159 0.335 0.494
Ni1 Ni 0.500 0.500 0.500
Ni2 Ni 0.500 0.000 0.000
Ni3 Ni 0.000 0.500 0.000
Ni4 Ni 0.000 0.000 0.500
Sn1 Sn 0.000 0.000 0.000
```

Output
**Formation energy from raw total energies**: -10.2 kJ/mol of atoms
**V**: 23.73 Å³/atom